[1]
Entry from the Alexandria database: a relaxed structure of BeMo2H (PBE).

a = 5.6679 Å, b = 5.6679 Å, c = 4.8558 Å
α = 54.29°, β = 54.29°, γ = 90.00°
Positions (direct):
Be1 0.0000 0.0000 0.0000
Be2 0.7500 0.2500 0.5000
Mo1 0.5576 0.1250 0.2500
Mo2 0.1924 0.6250 0.2500
Mo3 0.3750 0.4424 0.7500
Mo4 0.8750 0.8076 0.7500
H1 0.5000 0.5000 0.0000
H2 0.2500 0.7500 0.5000

Computed properties:
Raw total energy ... -6.9299 eV per atom

---

[2]
Entry from the Alexandria database: a relaxed structure of Rb3Br2O2 (PBE).

a = 5.4246 Å, b = 4.6345 Å, c = 10.3937 Å
α = 102.88°, β = 105.13°, γ = 90.00°
Each line ends with the local moment (μB).
Positions (direct):
Rb1 0.0000 0.0000 0.0000  0.00
Rb2 0.3472 0.3473 0.6945  0.00
Rb3 0.6528 0.6527 0.3055  0.00
Br1 0.1702 0.1702 0.3403  0.00
Br2 0.8298 0.8298 0.6597  0.00
O1 0.5000 0.1467 0.0000  0.40
O2 0.5000 0.8533 0.0000  0.40

Computed properties:
Uncorrected formation energy ... -30.12 kcal/mol of atoms
Raw total energy ... -3.6153 eV per atom

---

[3]
Entry from the Alexandria database: a relaxed structure of CuMoAs (PBE).

a = 4.3653 Å, b = 4.3653 Å, c = 2.7201 Å
α = 90.00°, β = 90.00°, γ = 120.00°
Positions (direct):
As1 0.0000 0.0000 0.9714
Cu1 0.3333 0.6667 0.2466
Mo1 0.6667 0.3333 0.7821

Computed properties:
Raw total energy ... -6.2612 eV per atom

---

[4]
Entry from the Alexandria database: a relaxed structure of Er2Ga2Ag3 (PBE).

a = 3.5413 Å, b = 4.1656 Å, c = 9.9637 Å
α = 102.07°, β = 90.00°, γ = 90.00°
Positions (direct):
Er1 0.0000 0.8434 0.6868
Er2 0.0000 0.1566 0.3132
Ga1 0.5000 0.7132 0.4264
Ga2 0.5000 0.2868 0.5736
Ag1 0.5000 0.5707 0.1413
Ag2 0.5000 0.4293 0.8587
Ag3 0.0000 0.0000 0.0000

Computed properties:
Raw total energy ... -3.7275 eV per atom

---

[5]
Entry from the Alexandria database: a relaxed structure of P2RuOF (PBE).

a = 4.6717 Å, b = 4.6717 Å, c = 3.6903 Å
α = 90.00°, β = 90.00°, γ = 90.00°
Positions (direct):
Ru1 0.0000 0.0000 0.0000
F1 0.5000 0.5000 0.5000
O1 0.0000 0.0000 0.5000
P1 0.0000 0.5000 0.0000
P2 0.5000 0.0000 0.0000

Computed properties:
Uncorrected formation energy ... 0.80 kcal/mol of atoms
Raw total energy ... -5.3504 eV per atom

---

[6]
Entry from the Alexandria database: a relaxed structure of PrY2Tc (PBE).

a = 6.4432 Å, b = 7.5155 Å, c = 9.2876 Å
α = 90.00°, β = 90.00°, γ = 90.00°
Positions (direct):
Pr1 0.6275 0.5450 0.2500
Pr2 0.8725 0.0450 0.2500
Pr3 0.3725 0.4550 0.7500
Pr4 0.1275 0.9550 0.7500
Y1 0.1606 0.6750 0.0653
Y2 0.3394 0.1750 0.4347
Y3 0.8394 0.3250 0.5653
Y4 0.6606 0.8250 0.9347
Y5 0.8394 0.3250 0.9347
Y6 0.6606 0.8250 0.5653
Y7 0.1606 0.6750 0.4347
Y8 0.3394 0.1750 0.0653
Tc1 0.0384 0.3836 0.2500
Tc2 0.4616 0.8836 0.2500
Tc3 0.9616 0.6164 0.7500
Tc4 0.5384 0.1164 0.7500

Computed properties:
Raw total energy ... -7.0586 eV per atom

---

[7]
Entry from the Alexandria database: a relaxed structure of HfAl2Cu4 (PBE).

a = 4.7692 Å, b = 4.7692 Å, c = 7.1590 Å
α = 70.54°, β = 70.54°, γ = 90.00°
Positions (direct):
Hf1 0.0000 0.0000 0.0000
Al1 0.3959 0.3959 0.2081
Al2 0.6041 0.6041 0.7919
Cu1 0.2056 0.2056 0.5888
Cu2 0.7944 0.7944 0.4112
Cu3 0.0000 0.5000 0.0000
Cu4 0.5000 0.0000 0.0000

Computed properties:
Raw total energy ... -4.0536 eV per atom

---

[8]
Entry from the Alexandria database: a relaxed structure of La2CuAs (PBE).

a = 6.1739 Å, b = 6.1739 Å, c = 6.1739 Å
α = 142.62°, β = 136.37°, γ = 58.78°
Positions (direct):
As1 0.4516 0.4516 0.0000
Cu1 0.2925 0.7925 0.5000
La1 0.0156 0.0156 0.0000
La2 0.7403 0.2403 0.5000

Computed properties:
Raw total energy ... -5.3001 eV per atom

---

Q: What is the raw total energy in the third record?
A: -6.2612 eV per atom